<1>
{
  "formula": "Hf3ScCr",
  "functional": "PBE-GGA",
  "state": "optimized geometry",
  "volume_a3_per_cell": 115.1,
  "m_tot_mub_per_cell": 0.00,
  "dos_ef_per_ev_atom": 1.6279,
  "lattice": [[4.8639, 0.0000, 0.0000], [0.0000, 4.8639, 0.0000], [0.0000, 0.0000, 4.8639]],
  "species": ["Hf", "Hf", "Hf", "Sc", "Cr"],
  "fractional_positions": [[0.0000, 0.0000, 0.5000], [0.0000, 0.5000, 0.0000], [0.5000, 0.0000, 0.0000], [0.5000, 0.5000, 0.5000], [0.0000, 0.0000, 0.0000]]
}



<2>
{
  "formula": "Hf3ScCr",
  "functional": "PBE-GGA",
  "state": "optimized geometry",
  "volume_a3_per_cell": 123.6,
  "m_tot_mub_per_cell": 3.22,
  "dos_ef_per_ev_atom": 1.7305,
  "lattice": [[4.9807, 0.0000, 0.0000], [0.0000, 4.9807, 0.0000], [0.0000, 0.0000, 4.9807]],
  "species": ["Hf", "Hf", "Hf", "Sc", "Cr"],
  "fractional_positions": [[0.0000, 0.0000, 0.5000], [0.0000, 0.5000, 0.0000], [0.5000, 0.0000, 0.0000], [0.0000, 0.0000, 0.0000], [0.5000, 0.5000, 0.5000]]
}



Stability, lowest: <2>



<1>
{
  "formula": "SrHfScCr2",
  "functional": "PBE-GGA",
  "state": "optimized geometry",
  "volume_a3_per_cell": 121.0,
  "m_tot_mub_per_cell": 0.01,
  "dos_ef_per_ev_atom": 2.1388,
  "lattice": [[4.7599, 0.0000, 0.0000], [0.0000, 4.7599, 0.0000], [0.0000, 0.0000, 5.3427]],
  "species": ["Sr", "Hf", "Sc", "Cr", "Cr"],
  "fractional_positions": [[0.0000, 0.0000, 0.0000], [0.5000, 0.5000, 0.5000], [0.5000, 0.5000, 0.0000], [0.0000, 0.5000, 0.5000], [0.5000, 0.0000, 0.5000]]
}



<2>
{
  "formula": "SrHfScCr2",
  "functional": "PBE-GGA",
  "state": "optimized geometry",
  "volume_a3_per_cell": 108.1,
  "m_tot_mub_per_cell": 0.01,
  "dos_ef_per_ev_atom": 1.6082,
  "lattice": [[4.5838, 0.0000, 0.0000], [0.0000, 4.5838, 0.0000], [0.0000, 0.0000, 5.1428]],
  "species": ["Sr", "Hf", "Sc", "Cr", "Cr"],
  "fractional_positions": [[0.0000, 0.0000, 0.0000], [0.5000, 0.5000, 0.0000], [0.0000, 0.0000, 0.5000], [0.0000, 0.5000, 0.5000], [0.5000, 0.0000, 0.5000]]
}



Stability, lowest: <2>



<1>
{
  "formula": "HfCrSi3",
  "functional": "PBE-GGA",
  "state": "optimized geometry",
  "volume_a3_per_cell": 120.3,
  "m_tot_mub_per_cell": 0.65,
  "dos_ef_per_ev_atom": 2.0028,
  "lattice": [[4.9366, 0.0000, 0.0000], [0.0000, 4.9366, 0.0000], [0.0000, 0.0000, 4.9366]],
  "species": ["Hf", "Cr", "Si", "Si", "Si"],
  "fractional_positions": [[0.0000, 0.0000, 0.0000], [0.5000, 0.5000, 0.5000], [0.0000, 0.0000, 0.5000], [0.0000, 0.5000, 0.0000], [0.5000, 0.0000, 0.0000]]
}



<2>
{
  "formula": "HfCrSi3",
  "functional": "PBE-GGA",
  "state": "optimized geometry",
  "volume_a3_per_cell": 85.8,
  "m_tot_mub_per_cell": 0.15,
  "dos_ef_per_ev_atom": 0.6930,
  "lattice": [[4.4102, 0.0000, 0.0000], [0.0000, 4.4102, 0.0000], [0.0000, 0.0000, 4.4102]],
  "species": ["Hf", "Cr", "Si", "Si", "Si"],
  "fractional_positions": [[0.0000, 0.0000, 0.0000], [0.5000, 0.5000, 0.5000], [0.0000, 0.5000, 0.5000], [0.5000, 0.0000, 0.5000], [0.5000, 0.5000, 0.0000]]
}



Stability, lowest: <1>



<1>
{
  "formula": "HfCrSi2",
  "functional": "PBE-GGA",
  "state": "optimized geometry",
  "volume_a3_per_cell": 702.1,
  "m_tot_mub_per_cell": 0.00,
  "dos_ef_per_ev_atom": 0.5062,
  "lattice": [[9.0399, 0.0000, 0.0000], [0.0000, 9.7206, 0.0000], [0.0000, 0.0000, 7.9904]],
  "species": ["Hf", "Hf", "Hf", "Hf", "Hf", "Hf", "Hf", "Hf", "Hf", "Hf", "Hf", "Hf", "Cr", "Cr", "Cr", "Cr", "Cr", "Cr", "Cr", "Cr", "Cr", "Cr", "Cr", "Cr", "Si", "Si", "Si", "Si", "Si", "Si", "Si", "Si", "Si", "Si", "Si", "Si", "Si", "Si", "Si", "Si", "Si", "Si", "Si", "Si", "Si", "Si", "Si", "Si"],
  "fractional_positions": [[0.1688, 0.1795, 0.0000], [0.1720, 0.4521, 0.2458], [0.1720, 0.4521, 0.7542], [0.3280, 0.9521, 0.2458], [0.3280, 0.9521, 0.7542], [0.3312, 0.6795, 0.0000], [0.6688, 0.3205, 0.0000], [0.6720, 0.0479, 0.2458], [0.6720, 0.0479, 0.7542], [0.8280, 0.5479, 0.2458], [0.8280, 0.5479, 0.7542], [0.8312, 0.8205, 0.0000], [0.0000, 0.0000, 0.2443], [0.0000, 0.0000, 0.7557], [0.0793, 0.7522, 0.2487], [0.0793, 0.7522, 0.7513], [0.4207, 0.2522, 0.2487], [0.4207, 0.2522, 0.7513], [0.5000, 0.5000, 0.2443], [0.5000, 0.5000, 0.7557], [0.5793, 0.7478, 0.2487], [0.5793, 0.7478, 0.7513], [0.9207, 0.2478, 0.2487], [0.9207, 0.2478, 0.7513], [0.0394, 0.6200, 0.0000], [0.0402, 0.6246, 0.5000], [0.1120, 0.9019, 0.5000], [0.1263, 0.8959, 0.0000], [0.1714, 0.1812, 0.3506], [0.1714, 0.1812, 0.6494], [0.3286, 0.6812, 0.3506], [0.3286, 0.6812, 0.6494], [0.3737, 0.3959, 0.0000], [0.3880, 0.4019, 0.5000], [0.4598, 0.1246, 0.5000], [0.4606, 0.1200, 0.0000], [0.5394, 0.8800, 0.0000], [0.5402, 0.8754, 0.5000], [0.6120, 0.5981, 0.5000], [0.6263, 0.6041, 0.0000], [0.6714, 0.3188, 0.3506], [0.6714, 0.3188, 0.6494], [0.8286, 0.8188, 0.3506], [0.8286, 0.8188, 0.6494], [0.8737, 0.1041, 0.0000], [0.8880, 0.0981, 0.5000], [0.9598, 0.3754, 0.5000], [0.9606, 0.3800, 0.0000]]
}



<2>
{
  "formula": "HfCrSi2",
  "functional": "PBE-GGA",
  "state": "optimized geometry",
  "volume_a3_per_cell": 60.2,
  "m_tot_mub_per_cell": 0.36,
  "dos_ef_per_ev_atom": 0.6583,
  "lattice": [[1.9923, 1.1503, 4.3778], [-1.9923, 1.1503, 4.3778], [0.0000, -2.3005, 4.3778]],
  "species": ["Hf", "Cr", "Si", "Si"],
  "fractional_positions": [[0.0000, 0.0000, 0.0000], [0.5000, 0.5000, 0.5000], [0.2174, 0.2174, 0.2174], [0.7826, 0.7826, 0.7826]]
}



<3>
{
  "formula": "HfCrSi2",
  "functional": "PBE-GGA",
  "state": "optimized geometry",
  "volume_a3_per_cell": 59.3,
  "m_tot_mub_per_cell": 0.00,
  "dos_ef_per_ev_atom": 0.5557,
  "lattice": [[0.0000, 3.0951, 3.0951], [3.0951, 0.0000, 3.0951], [3.0951, 3.0951, 0.0000]],
  "species": ["Hf", "Cr", "Si", "Si"],
  "fractional_positions": [[0.0000, 0.0000, 0.0000], [0.5000, 0.5000, 0.5000], [0.2500, 0.2500, 0.2500], [0.7500, 0.7500, 0.7500]]
}



<4>
{
  "formula": "HfCrSi2",
  "functional": "PBE-GGA",
  "state": "optimized geometry",
  "volume_a3_per_cell": 132.9,
  "m_tot_mub_per_cell": 2.85,
  "dos_ef_per_ev_atom": 0.8757,
  "lattice": [[-1.9212, 1.9212, 9.0016], [1.9212, -1.9212, 9.0016], [1.9212, 1.9212, -9.0016]],
  "species": ["Hf", "Hf", "Cr", "Cr", "Si", "Si", "Si", "Si"],
  "fractional_positions": [[0.0000, 0.0000, 0.0000], [0.7500, 0.2500, 0.5000], [0.2500, 0.7500, 0.5000], [0.5000, 0.5000, 0.0000], [0.1754, 0.6250, 0.0504], [0.3750, 0.4254, 0.5504], [0.5746, 0.1250, 0.9496], [0.8750, 0.8246, 0.4496]]
}



Stability, lowest: <4>